VASP calculation (PBE-GGA) on a relaxed Np2TaN4 crystal.

Output
- formation energy without anion corrections (meV/atom) = -977.0
- V (Å³ per cell) = 96
- VASP energy (eV per atom) = -11.125
- mass density (g/cm3) = 12.27
- space group = No. 139
- N(E_F) (states/eV/cell) = 13.240
- total moment (μB per atom) = 0.98

Cell lengths 4.0475, 4.0475, 6.5315 Å; angles 108.05, 108.05, 90.00 degrees
Closest atoms and distances in Å follow each position.
Atoms (fractional coordinates):
N 0.5000 0.0000 0.0000  2 Ta 2.02
N 0.8186 0.8186 0.6372  1 Np 2.11, 1 Ta 2.13
N 0.1814 0.1814 0.3628  1 Np 2.11, 1 Ta 2.13
N 0.0000 0.5000 0.0000  2 Ta 2.02
Ta 0.0000 0.0000 0.0000  6 N 2.02-2.13
Np 0.6391 0.6391 0.2781  1 N 2.11
Np 0.3609 0.3609 0.7219  1 N 2.11